Record 1
A plane-wave DFT calculation with GGA-PBE was carried out for a relaxed PrCu2As4Pb crystal.

**Space-group type**: P4mm (99)
**Raw total energy**: -4.691 eV per atom

a b c (Å): 3.967 3.967 10.756
angles (deg): 90.00 90.00 90.00
Atoms (fractional coordinates):
As: 0.500 0.500 0.367
As: 0.000 0.000 0.651
As: 0.500 0.000 0.990
As: 0.000 0.500 0.990
Cu: 0.500 0.000 0.508
Cu: 0.000 0.500 0.508
Pb: 0.000 0.000 0.226
Pr: 0.500 0.500 0.761

Record 2
A plane-wave DFT calculation with GGA-PBE was carried out for a relaxed CuAsPbS3 crystal.

**Space-group type**: Pmn2_1 (31)
**Raw total energy**: -4.387 eV per atom

a b c (Å): 8.133 8.834 7.707
angles (deg): 90.00 90.00 90.00
Atoms (fractional coordinates):
As: 0.495 0.158 0.000
As: 0.936 0.577 0.000
As: 0.064 0.077 0.500
As: 0.505 0.658 0.500
Cu: 0.278 0.430 0.240
Cu: 0.722 0.930 0.260
Cu: 0.722 0.930 0.740
Cu: 0.278 0.430 0.760
Pb: 0.077 0.000 0.000
Pb: 0.443 0.688 0.000
Pb: 0.557 0.188 0.500
Pb: 0.923 0.500 0.500
S: 0.248 0.283 0.000
S: 0.780 0.798 0.000
S: 0.442 0.992 0.224
S: 0.108 0.642 0.228
S: 0.892 0.142 0.272
S: 0.558 0.492 0.276
S: 0.220 0.298 0.500
S: 0.752 0.783 0.500
S: 0.558 0.492 0.724
S: 0.892 0.142 0.728
S: 0.108 0.642 0.772
S: 0.442 0.992 0.776

Record 3
A plane-wave DFT calculation with GGA-PBE was carried out for a relaxed TbCu2As4Pb crystal.

**Space-group type**: P4mm (99)
**Raw total energy**: -4.675 eV per atom

a b c (Å): 3.924 3.924 10.515
angles (deg): 90.00 90.00 90.00
Atoms (fractional coordinates):
As: 0.500 0.000 0.018
As: 0.000 0.500 0.018
As: 0.000 0.000 0.338
As: 0.500 0.500 0.633
Cu: 0.500 0.000 0.487
Cu: 0.000 0.500 0.487
Pb: 0.000 0.000 0.777
Tb: 0.500 0.500 0.241

Record 4
A plane-wave DFT calculation with GGA-PBE was carried out for a relaxed Cu2AsPd crystal.

**Space-group type**: F-43m (216)
**Raw total energy**: -4.382 eV per atom

a b c (Å): 4.306 4.306 4.306
angles (deg): 60.00 60.00 60.00
Atoms (fractional coordinates):
As: 0.500 0.500 0.500
Cu: 0.000 0.000 0.000
Cu: 0.750 0.750 0.750
Pd: 0.250 0.250 0.250

Record 5
A plane-wave DFT calculation with GGA-PBE was carried out for a relaxed CuAs2Pd crystal.

**Space-group type**: P4/nmm (129)
**ΔE to the lowest computed polymorph**: 0.000 eV/atom

a b c (Å): 4.045 4.045 7.863
angles (deg): 90.00 90.00 90.00
Atoms (fractional coordinates):
As: 0.000 0.000 0.000
As: 0.500 0.500 0.000
As: 0.500 0.000 0.305
As: 0.000 0.500 0.695
Cu: 0.000 0.000 0.500
Cu: 0.500 0.500 0.500
Pd: 0.000 0.500 0.235
Pd: 0.500 0.000 0.765

Record 6
A plane-wave DFT calculation with GGA-PBE was carried out for a relaxed CuAs2Pd crystal.

**Space-group type**: F-43m (216)
**ΔE to the lowest computed polymorph**: 0.185 eV/atom

a b c (Å): 4.524 4.524 4.524
angles (deg): 60.00 60.00 60.00
Atoms (fractional coordinates):
As: 0.000 0.000 0.000
As: 0.750 0.750 0.750
Cu: 0.250 0.250 0.250
Pd: 0.500 0.500 0.500

Record 7
A plane-wave DFT calculation with GGA-PBE was carried out for a relaxed Rb4CuAs2Pd crystal.

**Space-group type**: C2/m (12)
**Raw total energy**: -3.063 eV per atom

a b c (Å): 6.612 6.612 5.997
angles (deg): 91.34 91.34 106.21
Atoms (fractional coordinates):
As: 0.760 0.760 0.256
As: 0.240 0.240 0.744
Cu: 0.000 0.000 0.500
Pd: 0.000 0.000 0.000
Rb: 0.517 0.177 0.249
Rb: 0.177 0.517 0.249
Rb: 0.823 0.483 0.751
Rb: 0.483 0.823 0.751

Record 8
A plane-wave DFT calculation with GGA-PBE was carried out for a relaxed SrCuSbAsPd crystal.

**Space-group type**: P4/nmm (129)
**ΔE to the lowest computed polymorph**: 0.003 eV/atom

a b c (Å): 4.516 4.516 10.590
angles (deg): 90.00 90.00 90.00
Atoms (fractional coordinates):
As: 0.000 0.000 0.500
As: 0.500 0.500 0.500
Cu: 0.000 0.000 0.000
Cu: 0.500 0.500 0.000
Pd: 0.500 0.000 0.387
Pd: 0.000 0.500 0.613
Sb: 0.500 0.000 0.134
Sb: 0.000 0.500 0.866
Sr: 0.000 0.500 0.261
Sr: 0.500 0.000 0.739

Record 9
A plane-wave DFT calculation with GGA-PBE was carried out for a relaxed SrCuSbAsPd crystal.

**Space-group type**: P4/nmm (129)
**ΔE to the lowest computed polymorph**: 0.000 eV/atom

a b c (Å): 4.567 4.567 10.264
angles (deg): 90.00 90.00 90.00
Atoms (fractional coordinates):
As: 0.000 0.000 0.500
As: 0.500 0.500 0.500
Cu: 0.500 0.000 0.394
Cu: 0.000 0.500 0.606
Pd: 0.000 0.000 0.000
Pd: 0.500 0.500 0.000
Sb: 0.500 0.000 0.139
Sb: 0.000 0.500 0.861
Sr: 0.000 0.500 0.264
Sr: 0.500 0.000 0.736

Record 10
A plane-wave DFT calculation with GGA-PBE was carried out for a relaxed ScCuAsPd crystal.

**Space-group type**: F-43m (216)
**ΔE to the lowest computed polymorph**: 0.043 eV/atom

a b c (Å): 4.512 4.512 4.512
angles (deg): 60.00 60.00 60.00
Atoms (fractional coordinates):
As: 0.000 0.000 0.000
Cu: 0.750 0.750 0.750
Pd: 0.250 0.250 0.250
Sc: 0.500 0.500 0.500

Record 11
A plane-wave DFT calculation with GGA-PBE was carried out for a relaxed ScCuAsPd crystal.

**Space-group type**: F-43m (216)
**ΔE to the lowest computed polymorph**: 0.000 eV/atom

a b c (Å): 4.513 4.513 4.513
angles (deg): 60.00 60.00 60.00
Atoms (fractional coordinates):
As: 0.000 0.000 0.000
Cu: 0.250 0.250 0.250
Pd: 0.500 0.500 0.500
Sc: 0.750 0.750 0.750

Record 12
A plane-wave DFT calculation with GGA-PBE was carried out for a relaxed SrCuAsPd crystal.

**Space-group type**: F-43m (216)
**ΔE to the lowest computed polymorph**: 0.087 eV/atom

a b c (Å): 4.857 4.857 4.857
angles (deg): 60.00 60.00 60.00
Atoms (fractional coordinates):
As: 0.000 0.000 0.000
Cu: 0.750 0.750 0.750
Pd: 0.500 0.500 0.500
Sr: 0.250 0.250 0.250

Record 13
A plane-wave DFT calculation with GGA-PBE was carried out for a relaxed Sr2CuAs2Pd crystal.

**Space-group type**: P-6m2 (187)
**Raw total energy**: -4.494 eV per atom

a b c (Å): 4.290 4.290 8.842
angles (deg): 90.00 90.00 120.00
Atoms (fractional coordinates):
As: 0.667 0.333 0.000
As: 0.000 0.000 0.500
Cu: 0.000 0.000 0.000
Pd: 0.667 0.333 0.500
Sr: 0.333 0.667 0.251
Sr: 0.333 0.667 0.749

Record 14
A plane-wave DFT calculation with GGA-PBE was carried out for a relaxed SrCuAsPd crystal.

**Space-group type**: F-43m (216)
**ΔE to the lowest computed polymorph**: 0.000 eV/atom

a b c (Å): 4.805 4.805 4.805
angles (deg): 60.00 60.00 60.00
Atoms (fractional coordinates):
As: 0.250 0.250 0.250
Cu: 0.750 0.750 0.750
Pd: 0.500 0.500 0.500
Sr: 0.000 0.000 0.000

Record 15
A plane-wave DFT calculation with GGA-PBE was carried out for a relaxed SrCuAsPd crystal.

**Space-group type**: F-43m (216)
**ΔE to the lowest computed polymorph**: 0.015 eV/atom

a b c (Å): 4.804 4.804 4.804
angles (deg): 60.00 60.00 60.00
Atoms (fractional coordinates):
As: 0.500 0.500 0.500
Cu: 0.750 0.750 0.750
Pd: 0.250 0.250 0.250
Sr: 0.000 0.000 0.000

Record 16
A plane-wave DFT calculation with GGA-PBE was carried out for a relaxed TaCuAsPd crystal.

**Space-group type**: F-43m (216)
**ΔE to the lowest computed polymorph**: 0.000 eV/atom

a b c (Å): 4.452 4.452 4.452
angles (deg): 60.00 60.00 60.00
Atoms (fractional coordinates):
As: 0.000 0.000 0.000
Cu: 0.750 0.750 0.750
Pd: 0.500 0.500 0.500
Ta: 0.250 0.250 0.250

Record 17
A plane-wave DFT calculation with GGA-PBE was carried out for a relaxed TaCuAsPd crystal.

**Space-group type**: F-43m (216)
**ΔE to the lowest computed polymorph**: 0.286 eV/atom

a b c (Å): 4.490 4.490 4.490
angles (deg): 60.00 60.00 60.00
Atoms (fractional coordinates):
As: 0.000 0.000 0.000
Cu: 0.750 0.750 0.750
Pd: 0.250 0.250 0.250
Ta: 0.500 0.500 0.500

Record 18
A plane-wave DFT calculation with GGA-PBE was carried out for a relaxed CuTcAsPd crystal.

**Space-group type**: F-43m (216)
**ΔE to the lowest computed polymorph**: 0.000 eV/atom

a b c (Å): 4.339 4.339 4.339
angles (deg): 60.00 60.00 60.00
Atoms (fractional coordinates):
As: 0.000 0.000 0.000
Cu: 0.750 0.750 0.750
Pd: 0.500 0.500 0.500
Tc: 0.250 0.250 0.250

Record 19
A plane-wave DFT calculation with GGA-PBE was carried out for a relaxed YCuAsPd crystal.

**Space-group type**: F-43m (216)
**ΔE to the lowest computed polymorph**: 0.000 eV/atom

a b c (Å): 4.699 4.699 4.699
angles (deg): 60.00 60.00 60.00
Atoms (fractional coordinates):
As: 0.000 0.000 0.000
Cu: 0.750 0.750 0.750
Pd: 0.500 0.500 0.500
Y: 0.250 0.250 0.250

Record 20
A plane-wave DFT calculation with GGA-PBE was carried out for a relaxed YCuAsPd crystal.

**Space-group type**: F-43m (216)
**ΔE to the lowest computed polymorph**: 0.013 eV/atom

a b c (Å): 4.665 4.665 4.665
angles (deg): 60.00 60.00 60.00
Atoms (fractional coordinates):
As: 0.000 0.000 0.000
Cu: 0.750 0.750 0.750
Pd: 0.250 0.250 0.250
Y: 0.500 0.500 0.500

Record 21
A plane-wave DFT calculation with GGA-PBE was carried out for a relaxed ZrCuAsPd crystal.

**Space-group type**: F-43m (216)
**ΔE to the lowest computed polymorph**: 0.135 eV/atom

a b c (Å): 4.558 4.558 4.558
angles (deg): 60.00 60.00 60.00
Atoms (fractional coordinates):
As: 0.000 0.000 0.000
Cu: 0.750 0.750 0.750
Pd: 0.250 0.250 0.250
Zr: 0.500 0.500 0.500

Record 22
A plane-wave DFT calculation with GGA-PBE was carried out for a relaxed ZrCuAsPd crystal.

**Space-group type**: F-43m (216)
**ΔE to the lowest computed polymorph**: 0.000 eV/atom

a b c (Å): 4.549 4.549 4.549
angles (deg): 60.00 60.00 60.00
Atoms (fractional coordinates):
As: 0.000 0.000 0.000
Cu: 0.750 0.750 0.750
Pd: 0.500 0.500 0.500
Zr: 0.250 0.250 0.250

Record 23
A plane-wave DFT calculation with GGA-PBE was carried out for a relaxed PmCuAs2 crystal.

**Space-group type**: P4/nmm (129)
**Raw total energy**: -5.282 eV per atom

a b c (Å): 3.978 3.978 10.069
angles (deg): 90.00 90.00 90.00
Atoms (fractional coordinates):
As: 0.500 0.000 0.153
As: 0.000 0.000 0.500
As: 0.500 0.500 0.500
As: 0.000 0.500 0.847
Cu: 0.000 0.000 0.000
Cu: 0.500 0.500 0.000
Pm: 0.000 0.500 0.262
Pm: 0.500 0.000 0.738

Record 24
A plane-wave DFT calculation with GGA-PBE was carried out for a relaxed PrCuAs crystal.

**Space-group type**: F-43m (216)
**Raw total energy**: -4.969 eV per atom

a b c (Å): 4.541 4.541 4.541
angles (deg): 60.00 60.00 60.00
Atoms (fractional coordinates):
As: 0.250 0.250 0.250
Cu: 0.000 0.000 0.000
Pr: 0.750 0.750 0.750

Record 25
A plane-wave DFT calculation with GGA-PBE was carried out for a relaxed PrCuAs crystal.

**Space-group type**: F-43m (216)
**Raw total energy**: -4.648 eV per atom

a b c (Å): 4.795 4.795 4.795
angles (deg): 60.00 60.00 60.00
Atoms (fractional coordinates):
As: 0.250 0.250 0.250
Cu: 0.750 0.750 0.750
Pr: 0.000 0.000 0.000

Record 26
A plane-wave DFT calculation with GGA-PBE was carried out for a relaxed PrCu3As2 crystal.

**Space-group type**: P-3m1 (164)
**Raw total energy**: -4.698 eV per atom

a b c (Å): 4.166 4.166 6.887
angles (deg): 90.00 90.00 120.00
Atoms (fractional coordinates):
As: 0.333 0.667 0.264
As: 0.667 0.333 0.736
Cu: 0.667 0.333 0.354
Cu: 0.000 0.000 0.500
Cu: 0.333 0.667 0.646
Pr: 0.000 0.000 0.000

Record 27
A plane-wave DFT calculation with GGA-PBE was carried out for a relaxed PrCu2SbAs crystal.

**Space-group type**: P4/nmm (129)
**Raw total energy**: -4.727 eV per atom

a b c (Å): 4.490 4.490 9.958
angles (deg): 90.00 90.00 90.00
Atoms (fractional coordinates):
As: 0.000 0.000 0.500
As: 0.500 0.500 0.500
Cu: 0.000 0.000 0.000
Cu: 0.500 0.500 0.000
Cu: 0.500 0.000 0.394
Cu: 0.000 0.500 0.606
Pr: 0.000 0.500 0.263
Pr: 0.500 0.000 0.737
Sb: 0.500 0.000 0.139
Sb: 0.000 0.500 0.861